VASP calculation (PBE) on crystalline CrCdBr2 at its relaxed geometry.

The magnetization is 4.9 μB per formula unit. As for the space-group type: No. 119. Its energy above the most stable polymorph in this dataset is 345 meV per atom. The formation energy (no corrections) comes out at 0.014 eV/atom. Its density is 4.8 g cm⁻³.

The structure in POSCAR format:
```
CrCdBr2
1.0
-4.653 1.197 5.569
0.434 -0.852 7.293
3.105 2.512 -6.176
Br Cd Cr
2 1 1
direct
0.000 0.000 0.000 Br
0.250 0.750 0.500 Br
0.500 0.500 0.000 Cd
0.750 0.250 0.500 Cr
```

---

VASP calculation (PBE) on crystalline Mg2MoPd at its relaxed geometry.

The magnetization is 2.4 μB per formula unit. As for the space-group type: No. 225. Its energy above the most stable polymorph in this dataset is 0 meV per atom. For the formation energy, the calculation gives 0.15 eV per atom. Its density is 6.1 g cm⁻³.

The structure in POSCAR format:
```
Mg2MoPd
1.0
0.000 3.240 3.240
3.240 0.000 3.240
3.240 3.240 0.000
Mo Mg Pd
1 2 1
direct
0.000 0.000 0.000 Mo
0.250 0.250 0.250 Mg
0.750 0.750 0.750 Mg
0.500 0.500 0.500 Pd
```

---

VASP calculation (PBE) on crystalline Sr2ScMo at its relaxed geometry.

The magnetization is 2.0 μB per formula unit. As for the space-group type: No. 44. Its energy above the most stable polymorph in this dataset is 212 meV per atom. For the formation energy, the calculation gives 0.67 eV per atom. Its density is 4.1 g cm⁻³.

The structure in POSCAR format:
```
Sr2ScMo
1.0
0.255 -6.754 -0.350
4.146 -2.740 -4.593
-0.700 3.857 5.517
Mo Sc Sr
1 1 2
direct
0.470 0.470 0.000 Mo
0.310 0.810 0.500 Sc
0.011 0.011 0.000 Sr
0.710 0.210 0.500 Sr
```

---

VASP calculation (PBE) on crystalline BaIn2Co at its relaxed geometry.

The magnetization is 0.9 μB per formula unit. As for the space-group type: No. 99. For the formation energy, the calculation gives 0.13 eV per atom. Its density is 6.8 g cm⁻³.

The structure in POSCAR format:
```
BaIn2Co
1.0
3.601 0.000 0.000
0.000 3.599 0.000
0.000 0.000 8.042
Ba Co In
1 1 2
direct
0.000 0.000 0.528 Ba
0.500 0.500 0.838 Co
0.000 0.000 0.944 In
0.500 0.500 0.191 In
```

---

VASP calculation (PBE) on crystalline YMgTe2 at its relaxed geometry.

The magnetization is 0.0 μB per formula unit. As for the space-group type: No. 99. Its energy above the most stable polymorph in this dataset is 40 meV per atom. The formation energy (no corrections) comes out at -1.032 eV/atom. Its density is 5.3 g cm⁻³.

The structure in POSCAR format:
```
YMgTe2
1.0
-1.481 -2.610 -3.116
1.359 -3.443 2.239
-5.493 -0.304 2.866
Y Mg Te
1 1 2
direct
0.000 0.000 0.376 Y
0.500 0.500 0.873 Mg
0.000 0.000 0.876 Te
0.500 0.500 0.374 Te
```

---

VASP calculation (PBE) on crystalline DyEr5Bi5 at its relaxed geometry.

The magnetization is 0.0 μB per formula unit. As for the space-group type: No. 12. For the formation energy, the calculation gives -0.62 eV per atom. Its density is 9.5 g cm⁻³.

The structure in POSCAR format:
```
DyEr5Bi5
1.0
-1.901 1.449 -5.754
1.347 -7.382 1.069
-8.081 1.568 3.065
Dy Er Bi
1 5 5
direct
0.000 0.000 0.000 Dy
0.663 0.326 0.336 Er
0.663 0.326 0.827 Er
0.000 0.000 0.500 Er
0.337 0.674 0.173 Er
0.337 0.674 0.664 Er
0.829 0.659 0.168 Bi
0.833 0.666 0.663 Bi
0.500 0.000 0.000 Bi
0.167 0.334 0.337 Bi
0.171 0.341 0.832 Bi
```

---

VASP calculation (PBE) on crystalline Tb4AuBr5 at its relaxed geometry.

The magnetization is 0.0 μB per formula unit. As for the space-group type: No. 12. The formation energy (no corrections) comes out at -1.389 eV/atom. Its density is 6.5 g cm⁻³.

The structure in POSCAR format:
```
Tb4AuBr5
1.0
4.045 0.000 0.000
0.000 8.627 -0.386
-2.023 -1.624 9.115
Tb Au Br
4 1 5
direct
0.345 0.920 0.691 Tb
0.997 0.771 0.995 Tb
0.655 0.080 0.309 Tb
0.003 0.229 0.005 Tb
0.500 0.000 0.000 Au
0.832 0.669 0.664 Br
0.825 0.161 0.649 Br
0.175 0.839 0.351 Br
0.500 0.500 0.000 Br
0.168 0.331 0.336 Br
```

---

VASP calculation (PBE) on crystalline Re2Mo2Br at its relaxed geometry.

The magnetization is 0.0 μB per formula unit. As for the space-group type: No. 127. Its energy above the most stable polymorph in this dataset is 0 meV per atom. The formation energy (no corrections) comes out at 0.622 eV/atom. Its density is 12.2 g cm⁻³.

The structure in POSCAR format:
```
Re2Mo2Br
1.0
7.693 0.000 0.000
0.000 7.693 0.000
0.000 0.000 2.960
Re Mo Br
4 4 2
direct
0.137 0.637 0.500 Re
0.637 0.863 0.500 Re
0.863 0.363 0.500 Re
0.363 0.137 0.500 Re
0.352 0.852 0.000 Mo
0.852 0.648 0.000 Mo
0.648 0.148 0.000 Mo
0.148 0.352 0.000 Mo
0.000 0.000 0.000 Br
0.500 0.500 0.000 Br
```

---

VASP calculation (PBE) on crystalline Gd2TlCu at its relaxed geometry.

The magnetization is 14.5 μB per formula unit. As for the space-group type: No. 123. For the formation energy, the calculation gives -0.29 eV per atom. Its density is 9.7 g cm⁻³.

The structure in POSCAR format:
```
Gd2TlCu
1.0
-0.712 0.733 -3.443
-3.309 -1.338 0.399
-2.587 7.002 2.025
Tl Gd Cu
1 2 1
direct
0.500 0.500 0.500 Tl
0.000 0.000 0.778 Gd
0.000 0.000 0.222 Gd
0.500 0.500 0.000 Cu
```

---

VASP calculation (PBE) on crystalline YPb2 at its relaxed geometry.

The magnetization is 0.0 μB per formula unit. As for the space-group type: No. 12. For the formation energy, the calculation gives -0.25 eV per atom. Its density is 9.3 g cm⁻³.

The structure in POSCAR format:
```
YPb2
1.0
-2.195 1.140 7.301
-2.089 -2.636 6.936
5.714 -0.136 3.078
Y Pb
2 4
direct
0.155 0.155 0.910 Y
0.845 0.845 0.090 Y
0.820 0.820 0.604 Pb
0.502 0.502 0.249 Pb
0.498 0.498 0.751 Pb
0.180 0.180 0.396 Pb
```

---

VASP calculation (PBE) on crystalline Rb3U2MnS6 at its relaxed geometry.

The magnetization is 10.1 μB per formula unit. As for the space-group type: No. 12. The formation energy (no corrections) comes out at -1.208 eV/atom. Its density is 5.0 g cm⁻³.

The structure in POSCAR format:
```
Rb3U2MnS6
1.0
-0.708 5.018 -4.778
-5.271 -1.479 4.306
4.652 3.988 5.189
Rb U Mn S
3 2 1 6
direct
0.166 0.834 0.500 Rb
0.834 0.166 0.500 Rb
0.500 0.500 0.500 Rb
0.333 0.667 0.000 U
0.667 0.333 0.000 U
0.000 0.000 0.000 Mn
0.937 0.611 0.811 S
0.737 0.737 0.188 S
0.063 0.389 0.189 S
0.611 0.937 0.811 S
0.263 0.263 0.812 S
0.389 0.063 0.189 S
```

---

VASP calculation (PBE) on crystalline LiNpScN3 at its relaxed geometry.

The magnetization is 2.0 μB per formula unit. As for the space-group type: No. 11. The formation energy (no corrections) comes out at -1.019 eV/atom. Its density is 7.7 g cm⁻³.

The structure in POSCAR format:
```
LiNpScN3
1.0
-0.133 2.812 1.474
-5.283 -2.344 3.995
5.330 -1.591 3.515
Li Np Sc N
2 2 2 6
direct
0.250 0.088 0.593 Li
0.750 0.912 0.407 Li
0.750 0.802 0.781 Np
0.250 0.198 0.219 Np
0.250 0.656 0.174 Sc
0.750 0.344 0.826 Sc
0.250 0.805 0.534 N
0.750 0.865 0.113 N
0.750 0.424 0.167 N
0.750 0.195 0.466 N
0.250 0.576 0.833 N
0.250 0.135 0.887 N
```